[1]
# Pm4YZn (PBE, optimized geometry)
# uncorrected energy = -4.55 eV per atom
# density of states at the Fermi level = 1.160 states/eV/atom
# crystal system = tetragonal
data_Pm4YZn
_space_group_name_H-M_alt 'P 1'
_space_group_IT_number 1
_space_group_name_Hall 'P 1'
_cell_length_a 3.645
_cell_length_b 3.645
_cell_length_c 13.927
_cell_angle_alpha 90.00
_cell_angle_beta 90.00
_cell_angle_gamma 90.00
loop_
_atom_site_label
_atom_site_type_symbol
_atom_site_fract_x
_atom_site_fract_y
_atom_site_fract_z
Zn1 Zn 0.500 0.500 0.500
Pm1 Pm 0.500 0.500 0.818
Pm2 Pm 0.000 0.000 0.369
Pm3 Pm 0.000 0.000 0.631
Pm4 Pm 0.500 0.500 0.182
Y1 Y 0.000 0.000 0.000

[2]
# Cs2BaNp2O7 (PBE, optimized geometry)
# ΔE_f (raw) = -2.694 eV/atom
# uncorrected energy = -8.05 eV per atom
# density of states at the Fermi level = 0.781 states/eV/atom
# crystal system = tetragonal
data_Cs2BaNp2O7
_space_group_name_H-M_alt 'P 1'
_space_group_IT_number 1
_space_group_name_Hall 'P 1'
_cell_length_a 4.403
_cell_length_b 4.403
_cell_length_c 12.407
_cell_angle_alpha 79.78
_cell_angle_beta 79.78
_cell_angle_gamma 89.98
loop_
_atom_site_label
_atom_site_type_symbol
_atom_site_fract_x
_atom_site_fract_y
_atom_site_fract_z
O1 O 0.083 0.583 0.834
O2 O 0.417 0.917 0.166
O3 O 0.673 0.673 0.654
O4 O 0.583 0.083 0.834
O5 O 0.327 0.327 0.346
O6 O 0.500 0.500 0.000
O7 O 0.917 0.417 0.166
Np1 Np 0.409 0.410 0.181
Np2 Np 0.591 0.590 0.819
Cs1 Cs 0.191 0.190 0.619
Cs2 Cs 0.809 0.810 0.381
Ba1 Ba 0.000 0.000 0.000

Values of magnetic moment, in order: 0.000 4.000, all in μB per formula unit.